[1]
This record from Alexandria describes a relaxed ReGeOs2Ru crystal. The functional is GGA-PBE.

The structure in CIF format:
```
data_ReGeOs2Ru
_cell_length_a 4.6800
_cell_length_b 4.6800
_cell_length_c 4.6712
_cell_angle_alpha 90.00
_cell_angle_beta 90.00
_cell_angle_gamma 90.00
_space_group_name_H-M_alt 'P 4/m m m'
_space_group_IT_number 123
_space_group_name_Hall '-P 4 2'
loop_
_atom_site_label
_atom_site_type_symbol
_atom_site_fract_x
_atom_site_fract_y
_atom_site_fract_z
Re1 Re 0.0000 0.0000 0.0000
Ge1 Ge 0.5000 0.5000 0.0000
Os1 Os 0.0000 0.5000 0.5000
Ru1 Ru 0.0000 0.0000 0.5000
```

Results
Calculated formation energy ... 2.245 eV per atom
VASP energy ... -7.515 eV/atom

---

[2]
This record from Alexandria describes a relaxed Na2La2Ag15 crystal. The functional is GGA-PBE.

The structure in CIF format:
```
data_Na2La2Ag15
_cell_length_a 9.7313
_cell_length_b 9.7313
_cell_length_c 14.5503
_cell_angle_alpha 90.00
_cell_angle_beta 90.00
_cell_angle_gamma 120.00
_space_group_name_H-M_alt 'R -3 m'
_space_group_IT_number 166
_space_group_name_Hall '-R 3 2"'
loop_
_atom_site_label
_atom_site_type_symbol
_atom_site_fract_x
_atom_site_fract_y
_atom_site_fract_z
Na1 Na 0.0000 0.0000 0.0968
La1 La 0.0000 0.0000 0.3524
Ag1 Ag 0.0000 0.3101 0.0000
Ag2 Ag 0.0000 0.5000 0.5000
Ag3 Ag 0.0059 0.5029 0.1546
```

Results
Calculated formation energy ... -0.102 eV per atom
VASP energy ... -3.010 eV/atom

---

[3]
This record from Alexandria describes a relaxed Ni5Cl4 crystal. The functional is GGA-PBE.

The structure in CIF format:
```
data_Ni5Cl4
_cell_length_a 9.2571
_cell_length_b 9.2571
_cell_length_c 3.2182
_cell_angle_alpha 90.00
_cell_angle_beta 90.00
_cell_angle_gamma 90.00
_space_group_name_H-M_alt 'I 4/m m m'
_space_group_IT_number 139
_space_group_name_Hall '-I 4 2'
loop_
_atom_site_label
_atom_site_type_symbol
_atom_site_fract_x
_atom_site_fract_y
_atom_site_fract_z
Ni1 Ni 0.0000 0.0000 0.0000
Ni2 Ni 0.1660 0.1660 0.5000
Cl1 Cl 0.0000 0.2668 0.0000
```

Results
Raw formation energy ... 156 meV/atom
VASP energy ... -3.876 eV/atom

---

[4]
This record from Alexandria describes a relaxed Cs5H3F2 crystal. The functional is GGA-PBE.

The structure in CIF format:
```
data_Cs5H3F2
_cell_length_a 15.8286
_cell_length_b 4.2293
_cell_length_c 11.3567
_cell_angle_alpha 90.00
_cell_angle_beta 125.02
_cell_angle_gamma 90.00
_space_group_name_H-M_alt 'C 1 2/m 1'
_space_group_IT_number 12
_space_group_name_Hall '-C 2y'
loop_
_atom_site_label
_atom_site_type_symbol
_atom_site_fract_x
_atom_site_fract_y
_atom_site_fract_z
Cs1 Cs 0.0000 0.0000 0.0000
Cs2 Cs 0.1021 0.0000 0.4040
Cs3 Cs 0.2072 0.5000 0.7976
H1 H 0.0000 0.5000 0.5000
H2 H 0.1143 0.0000 0.8718
F1 F 0.1646 0.5000 0.2671
```

Results
VASP energy ... -2.901 eV/atom

---

[5]
This record from Alexandria describes a relaxed LaPuBr crystal. The functional is GGA-PBE.

The structure in CIF format:
```
data_LaPuBr
_cell_length_a 6.1305
_cell_length_b 4.3753
_cell_length_c 13.3069
_cell_angle_alpha 90.00
_cell_angle_beta 102.58
_cell_angle_gamma 90.00
_space_group_name_H-M_alt 'C 1 2/m 1'
_space_group_IT_number 12
_space_group_name_Hall '-C 2y'
loop_
_atom_site_label
_atom_site_type_symbol
_atom_site_fract_x
_atom_site_fract_y
_atom_site_fract_z
La1 La 0.0451 0.0000 0.2932
Pu1 Pu 0.1973 0.5000 0.5162
Br1 Br 0.1466 0.5000 0.8623
```

Results
Raw formation energy ... -778 meV/atom
VASP energy ... -7.755 eV/atom

---

[6]
This record from Alexandria describes a relaxed Sr3Cu2RuO9 crystal. The functional is GGA-PBE.

The structure in CIF format:
```
data_Sr3Cu2RuO9
_cell_length_a 5.5448
_cell_length_b 5.5448
_cell_length_c 6.8713
_cell_angle_alpha 90.00
_cell_angle_beta 90.00
_cell_angle_gamma 120.00
_space_group_name_H-M_alt 'P -3 m 1'
_space_group_IT_number 164
_space_group_name_Hall '-P 3 2"'
loop_
_atom_site_label
_atom_site_type_symbol
_atom_site_fract_x
_atom_site_fract_y
_atom_site_fract_z
Sr1 Sr 0.0000 0.0000 0.0000
Sr2 Sr 0.3333 0.6667 0.6820
Cu1 Cu 0.3333 0.6667 0.1567
Ru1 Ru 0.0000 0.0000 0.5000
O1 O 0.0000 0.5000 0.0000
O2 O 0.1645 0.3290 0.3392
```

Results
Raw formation energy ... -1553 meV/atom
VASP energy ... -6.029 eV/atom

---

[7]
This record from Alexandria describes a relaxed Tl2ZnSnBr6 crystal. The functional is GGA-PBE.

The structure in CIF format:
```
data_Tl2ZnSnBr6
_cell_length_a 7.8185
_cell_length_b 7.8185
_cell_length_c 23.3002
_cell_angle_alpha 90.00
_cell_angle_beta 90.00
_cell_angle_gamma 120.00
_space_group_name_H-M_alt 'R 3'
_space_group_IT_number 146
_space_group_name_Hall 'R 3'
loop_
_atom_site_label
_atom_site_type_symbol
_atom_site_fract_x
_atom_site_fract_y
_atom_site_fract_z
Tl1 Tl 0.0000 0.0000 0.0000
Tl2 Tl 0.0000 0.0000 0.4841
Zn1 Zn 0.0000 0.0000 0.2320
Sn1 Sn 0.0000 0.0000 0.7907
Br1 Br 0.0532 0.3486 0.8968
Br2 Br 0.0543 0.7050 0.3954
```

Results
Raw formation energy ... -816 meV/atom
VASP energy ... -2.821 eV/atom

---

[8]
This record from Alexandria describes a relaxed CsCuAsBr6 crystal. The functional is GGA-PBE.

The structure in CIF format:
```
data_CsCuAsBr6
_cell_length_a 8.4584
_cell_length_b 10.9733
_cell_length_c 7.2841
_cell_angle_alpha 90.00
_cell_angle_beta 106.22
_cell_angle_gamma 90.00
_space_group_name_H-M_alt 'C 1 2 1'
_space_group_IT_number 5
_space_group_name_Hall 'C 2y'
loop_
_atom_site_label
_atom_site_type_symbol
_atom_site_fract_x
_atom_site_fract_y
_atom_site_fract_z
Cs1 Cs 0.0000 0.0000 0.0000
Cu1 Cu 0.0000 0.8060 0.5000
As1 As 0.0000 0.4428 0.5000
Br1 Br 0.1031 0.6664 0.7566
Br2 Br 0.1203 0.3025 0.7613
Br3 Br 0.2095 0.9653 0.5877
```

Results
Raw formation energy ... -678 meV/atom
VASP energy ... -2.860 eV/atom

---

[9]
This record from Alexandria describes a relaxed Na2SO5 crystal. The functional is GGA-PBE.

The structure in CIF format:
```
data_Na2SO5
_cell_length_a 3.7745
_cell_length_b 11.2387
_cell_length_c 10.1312
_cell_angle_alpha 90.00
_cell_angle_beta 90.00
_cell_angle_gamma 90.00
_space_group_name_H-M_alt 'C m c m'
_space_group_IT_number 63
_space_group_name_Hall '-C 2c 2'
loop_
_atom_site_label
_atom_site_type_symbol
_atom_site_fract_x
_atom_site_fract_y
_atom_site_fract_z
Na1 Na 0.0000 0.1395 0.0769
S1 S 0.0000 0.1543 0.7500
O1 O 0.0000 0.0570 0.6397
O2 O 0.0000 0.2556 0.6388
O3 O 0.0000 0.3337 0.2500
```

Results
Raw formation energy ... -896 meV/atom
Relative energy among the computed polymorphs ... 0.0 meV per atom
VASP energy ... -4.841 eV/atom

---

[10]
This record from Alexandria describes a relaxed PmNd2Tc crystal. The functional is GGA-PBE.

The structure in CIF format:
```
data_PmNd2Tc
_cell_length_a 4.0200
_cell_length_b 12.3026
_cell_length_c 9.5307
_cell_angle_alpha 90.00
_cell_angle_beta 90.00
_cell_angle_gamma 90.00
_space_group_name_H-M_alt 'C m c m'
_space_group_IT_number 63
_space_group_name_Hall '-C 2c 2'
loop_
_atom_site_label
_atom_site_type_symbol
_atom_site_fract_x
_atom_site_fract_y
_atom_site_fract_z
Pm1 Pm 0.0000 0.0770 0.2500
Nd1 Nd 0.0000 0.3564 0.0698
Tc1 Tc 0.0000 0.2611 0.7500
```

Results
Relative energy among the computed polymorphs ... 0.3 meV per atom
Calculated formation energy ... 0.017 eV per atom
VASP energy ... -6.146 eV/atom

---

[11]
This record from Alexandria describes a relaxed EuMgHg crystal. The functional is GGA-PBE.

The structure in CIF format:
```
data_EuMgHg
_cell_length_a 7.2467
_cell_length_b 7.2467
_cell_length_c 7.2467
_cell_angle_alpha 90.00
_cell_angle_beta 90.00
_cell_angle_gamma 90.00
_space_group_name_H-M_alt 'F -4 3 m'
_space_group_IT_number 216
_space_group_name_Hall 'F -4 2 3'
loop_
_atom_site_label
_atom_site_type_symbol
_atom_site_fract_x
_atom_site_fract_y
_atom_site_fract_z
Eu1 Eu 0.0000 0.0000 0.0000
Mg1 Mg 0.0000 0.0000 0.5000
Hg1 Hg 0.2500 0.2500 0.2500
```

Results
Calculated formation energy ... -0.236 eV per atom
VASP energy ... -4.293 eV/atom

---

[12]
This record from Alexandria describes a relaxed RbNa2I crystal. The functional is GGA-PBE.

The structure in CIF format:
```
data_RbNa2I
_cell_length_a 5.0428
_cell_length_b 5.0428
_cell_length_c 7.3449
_cell_angle_alpha 90.00
_cell_angle_beta 90.00
_cell_angle_gamma 90.00
_space_group_name_H-M_alt 'P 4/m m m'
_space_group_IT_number 123
_space_group_name_Hall '-P 4 2'
loop_
_atom_site_label
_atom_site_type_symbol
_atom_site_fract_x
_atom_site_fract_y
_atom_site_fract_z
Rb1 Rb 0.0000 0.0000 0.0000
Na1 Na 0.5000 0.5000 0.2522
I1 I 0.0000 0.0000 0.5000
```

Results
Raw formation energy ... -463 meV/atom
Relative energy among the computed polymorphs ... 18.7 meV per atom
VASP energy ... -1.752 eV/atom

---

[13]
This record from Alexandria describes a relaxed CaPrBi crystal. The functional is GGA-PBE.

The structure in CIF format:
```
data_CaPrBi
_cell_length_a 6.3688
_cell_length_b 4.5689
_cell_length_c 8.2757
_cell_angle_alpha 90.00
_cell_angle_beta 109.27
_cell_angle_gamma 90.00
_space_group_name_H-M_alt 'P 1 21/m 1'
_space_group_IT_number 11
_space_group_name_Hall '-P 2yb'
loop_
_atom_site_label
_atom_site_type_symbol
_atom_site_fract_x
_atom_site_fract_y
_atom_site_fract_z
Ca1 Ca 0.2156 0.2500 0.4187
Pr1 Pr 0.2150 0.2500 0.9477
Bi1 Bi 0.3372 0.7500 0.7102
```

Results
Calculated formation energy ... -0.494 eV per atom
VASP energy ... -4.048 eV/atom

---

[14]
This record from Alexandria describes a relaxed AlHg2P crystal. The functional is GGA-PBE.

The structure in CIF format:
```
data_AlHg2P
_cell_length_a 6.7505
_cell_length_b 3.7216
_cell_length_c 7.7456
_cell_angle_alpha 90.00
_cell_angle_beta 96.95
_cell_angle_gamma 90.00
_space_group_name_H-M_alt 'C 1 m 1'
_space_group_IT_number 8
_space_group_name_Hall 'C -2y'
loop_
_atom_site_label
_atom_site_type_symbol
_atom_site_fract_x
_atom_site_fract_y
_atom_site_fract_z
Al1 Al 0.0000 0.0000 0.0000
Hg1 Hg 0.2012 0.0000 0.5891
Hg2 Hg 0.4673 0.0000 0.2909
P1 P 0.1598 0.5000 0.8925
```

Results
Relative energy among the computed polymorphs ... 0.0 meV per atom
Calculated formation energy ... -0.047 eV per atom
VASP energy ... -2.486 eV/atom

---

[15]
This record from Alexandria describes a relaxed Tl2ZnAu2 crystal. The functional is GGA-PBE.

The structure in CIF format:
```
data_Tl2ZnAu2
_cell_length_a 4.2141
_cell_length_b 4.2141
_cell_length_c 25.9756
_cell_angle_alpha 90.00
_cell_angle_beta 90.00
_cell_angle_gamma 120.00
_space_group_name_H-M_alt 'R -3 m'
_space_group_IT_number 166
_space_group_name_Hall '-R 3 2"'
loop_
_atom_site_label
_atom_site_type_symbol
_atom_site_fract_x
_atom_site_fract_y
_atom_site_fract_z
Tl1 Tl 0.0000 0.0000 0.0610
Zn1 Zn 0.0000 0.0000 0.5000
Au1 Au 0.0000 0.0000 0.2079
```

Results
Relative energy among the computed polymorphs ... 0.0 meV per atom
Calculated formation energy ... -0.035 eV per atom
VASP energy ... -2.547 eV/atom

---

[16]
This record from Alexandria describes a relaxed Sm2AgHg2 crystal. The functional is GGA-PBE.

The structure in CIF format:
```
data_Sm2AgHg2
_cell_length_a 11.0907
_cell_length_b 4.7369
_cell_length_c 10.7475
_cell_angle_alpha 90.00
_cell_angle_beta 112.43
_cell_angle_gamma 90.00
_space_group_name_H-M_alt 'C 1 2/m 1'
_space_group_IT_number 12
_space_group_name_Hall '-C 2y'
loop_
_atom_site_label
_atom_site_type_symbol
_atom_site_fract_x
_atom_site_fract_y
_atom_site_fract_z
Sm1 Sm 0.0256 0.0000 0.3440
Sm2 Sm 0.1777 0.0000 0.1029
Ag1 Ag 0.2199 0.5000 0.3264
Hg1 Hg 0.0391 0.5000 0.8802
Hg2 Hg 0.1413 0.5000 0.5798
```

Results
Relative energy among the computed polymorphs ... 0.0 meV per atom
Calculated formation energy ... -0.354 eV per atom
VASP energy ... -2.933 eV/atom

---

[17]
This record from Alexandria describes a relaxed YRhBr2 crystal. The functional is GGA-PBE.

The structure in CIF format:
```
data_YRhBr2
_cell_length_a 3.5496
_cell_length_b 3.5496
_cell_length_c 25.6764
_cell_angle_alpha 90.00
_cell_angle_beta 90.00
_cell_angle_gamma 120.00
_space_group_name_H-M_alt 'R -3 m'
_space_group_IT_number 166
_space_group_name_Hall '-R 3 2"'
loop_
_atom_site_label
_atom_site_type_symbol
_atom_site_fract_x
_atom_site_fract_y
_atom_site_fract_z
Y1 Y 0.0000 0.0000 0.0000
Rh1 Rh 0.0000 0.0000 0.5000
Br1 Br 0.0000 0.0000 0.2518
```

Results
Raw formation energy ... -228 meV/atom
Relative energy among the computed polymorphs ... 797.0 meV per atom
VASP energy ... -4.518 eV/atom

---

[18]
This record from Alexandria describes a relaxed CaAc2PrTe4 crystal. The functional is GGA-PBE.

The structure in CIF format:
```
data_CaAc2PrTe4
_cell_length_a 8.0040
_cell_length_b 4.6011
_cell_length_c 8.0574
_cell_angle_alpha 90.00
_cell_angle_beta 109.10
_cell_angle_gamma 90.00
_space_group_name_H-M_alt 'P 1 2/m 1'
_space_group_IT_number 10
_space_group_name_Hall '-P 2y'
loop_
_atom_site_label
_atom_site_type_symbol
_atom_site_fract_x
_atom_site_fract_y
_atom_site_fract_z
Ca1 Ca 0.0000 0.0000 0.0000
Ac1 Ac 0.5000 0.0000 0.5000
Ac2 Ac 0.5000 0.5000 0.0000
Pr1 Pr 0.0000 0.5000 0.5000
Te1 Te 0.2330 0.5000 0.2406
Te2 Te 0.2349 0.0000 0.7496
```

Results
Raw formation energy ... -1502 meV/atom
VASP energy ... -4.947 eV/atom